Entry 1:
Here is a relaxed La5Sm crystal from Alexandria via LeMat-Bulk. Energies are from PBE-GGA.

a = 5.2799 Å, b = 7.3766 Å, c = 11.1123 Å
α = 90.00°, β = 90.00°, γ = 90.00°
With the nearest neighbours (Å) after each atom.
Fractional positions:
La (0.7500, 0.1246, 0.9171)  10 La 3.68-3.72, 2 Sm 3.72
La (0.2500, 0.3749, 0.4186)  3 Sm 3.68-3.72, 9 La 3.68-3.75
La (0.2500, 0.8736, 0.7500)  2 Sm 3.67-3.71, 10 La 3.70-3.72
La (0.2500, 0.8754, 0.4171)  10 La 3.68-3.72, 2 Sm 3.72
La (0.2500, 0.8754, 0.0829)  10 La 3.68-3.72, 2 Sm 3.72
La (0.7500, 0.6251, 0.9186)  3 Sm 3.68-3.72, 9 La 3.68-3.75
La (0.7500, 0.1264, 0.2500)  2 Sm 3.67-3.71, 10 La 3.70-3.72
La (0.7500, 0.1246, 0.5829)  10 La 3.68-3.72, 2 Sm 3.72
La (0.2500, 0.3749, 0.0814)  3 Sm 3.68-3.72, 9 La 3.68-3.75
Sm (0.2500, 0.3761, 0.7500)  12 La 3.67-3.72
La (0.7500, 0.6251, 0.5814)  3 Sm 3.68-3.72, 9 La 3.68-3.75
Sm (0.7500, 0.6239, 0.2500)  12 La 3.67-3.72

Computed properties:
formation enthalpy at 0 K = 0.010 eV/atom
DFT total energy = -4.88 eV per atom


Entry 2:
Here is a relaxed La8Sm crystal from Alexandria via LeMat-Bulk. Energies are from PBE-GGA.

a = 5.2789 Å, b = 8.2920 Å, c = 8.2920 Å
α = 84.18°, β = 71.44°, γ = 71.44°
With the nearest neighbours (Å) after each atom.
Fractional positions:
La (0.3327, 0.6673, 0.6673)  1 Sm 3.70, 11 La 3.71-3.73
La (0.3333, 0.0000, 0.3334)  10 La 3.71-3.72, 2 Sm 3.72
La (0.6667, 0.6666, 0.0000)  10 La 3.71-3.72, 2 Sm 3.72
La (0.6673, 0.3327, 0.3327)  1 Sm 3.70, 11 La 3.71-3.73
La (0.0000, 0.6673, 0.3327)  1 Sm 3.70, 11 La 3.71-3.73
La (0.6667, 0.0000, 0.6666)  10 La 3.71-3.72, 2 Sm 3.72
La (0.3333, 0.3334, 0.0000)  10 La 3.71-3.72, 2 Sm 3.72
Sm (0.0000, 0.0000, 0.0000)  12 La 3.70-3.72
La (0.0000, 0.3327, 0.6673)  1 Sm 3.70, 11 La 3.71-3.73

Computed properties:
formation enthalpy at 0 K = 0.010 eV/atom
DFT total energy = -4.89 eV per atom


Entry 3:
Here is a relaxed La3Sm2 crystal from Alexandria via LeMat-Bulk. Energies are from PBE-GGA.

a = 3.6928 Å, b = 3.6928 Å, c = 15.2331 Å
α = 83.04°, β = 83.04°, γ = 60.00°
With the nearest neighbours (Å) after each atom.
Fractional positions:
La (0.0987, 0.0987, 0.7038)  3 Sm 3.69, 9 La 3.69-3.74
Sm (0.6989, 0.6989, 0.9033)  9 Sm 3.61-3.69, 3 La 3.69
La (0.5000, 0.5000, 0.5000)  12 La 3.69-3.74
La (0.9013, 0.9013, 0.2962)  3 Sm 3.69, 9 La 3.69-3.74
Sm (0.3011, 0.3011, 0.0967)  9 Sm 3.61-3.69, 3 La 3.69

Computed properties:
formation enthalpy at 0 K = 0.015 eV/atom
DFT total energy = -4.83 eV per atom
distance to the lowest polymorph of the same formula = 0.00 eV/f.u.


Entry 4:
Here is a relaxed La7Sm2 crystal from Alexandria via LeMat-Bulk. Energies are from PBE-GGA.

a = 6.4171 Å, b = 6.4171 Å, c = 9.0510 Å
α = 90.00°, β = 90.00°, γ = 120.00°
With the nearest neighbours (Å) after each atom.
Fractional positions:
Sm (0.6667, 0.3333, 0.0000)  9 La 3.69-3.70, 3 Sm 3.70
La (0.0000, 0.6663, 0.3324)  2 Sm 3.69, 10 La 3.69-3.71
Sm (0.3333, 0.6667, 0.0000)  9 La 3.69-3.70, 3 Sm 3.70
La (0.0000, 0.0000, 0.0000)  6 La 3.69, 6 Sm 3.70
La (0.0000, 0.3337, 0.6676)  2 Sm 3.69, 10 La 3.69-3.71
La (0.3337, 0.0000, 0.6676)  2 Sm 3.69, 10 La 3.69-3.71
La (0.3337, 0.3337, 0.3324)  2 Sm 3.69, 10 La 3.69-3.71
La (0.6663, 0.6663, 0.6676)  2 Sm 3.69, 10 La 3.69-3.71
La (0.6663, 0.0000, 0.3324)  2 Sm 3.69, 10 La 3.69-3.71

Computed properties:
formation enthalpy at 0 K = 0.011 eV/atom
DFT total energy = -4.87 eV per atom


Entry 5:
Here is a relaxed LaSm4 crystal from Alexandria via LeMat-Bulk. Energies are from PBE-GGA.

a = 6.3754 Å, b = 6.3754 Å, c = 10.0557 Å
α = 103.49°, β = 103.49°, γ = 110.93°
With the nearest neighbours (Å) after each atom.
Fractional positions:
Sm (0.8106, 0.8106, 0.5711)  8 Sm 3.41-3.57
La (0.1721, 0.8279, 0.0000)  8 Sm 3.53-3.83, 1 La 3.62
Sm (0.2932, 0.2932, 0.8435)  6 Sm 3.33-3.70, 2 La 3.60
Sm (0.7068, 0.7068, 0.1565)  6 Sm 3.33-3.70, 2 La 3.60
Sm (0.1894, 0.1894, 0.4289)  8 Sm 3.41-3.57
Sm (0.3181, 0.7220, 0.6808)  8 Sm 3.41-3.75, 2 La 3.53-3.64
Sm (0.2780, 0.6819, 0.3192)  8 Sm 3.41-3.75, 2 La 3.53-3.64
Sm (0.6819, 0.2780, 0.3192)  8 Sm 3.41-3.75, 2 La 3.53-3.64
Sm (0.7220, 0.3181, 0.6808)  8 Sm 3.41-3.75, 2 La 3.53-3.64
La (0.8279, 0.1721, 0.0000)  8 Sm 3.53-3.83, 1 La 3.62

Computed properties:
formation enthalpy at 0 K = 0.128 eV/atom
DFT total energy = -4.63 eV per atom
distance to the lowest polymorph of the same formula = 0.58 eV/f.u.


Entry 6:
Here is a relaxed La2Sm5 crystal from Alexandria via LeMat-Bulk. Energies are from PBE-GGA.

a = 5.7837 Å, b = 5.7837 Å, c = 9.0922 Å
α = 71.45°, β = 71.45°, γ = 60.00°
With the nearest neighbours (Å) after each atom.
Fractional positions:
Sm (0.7731, 0.7731, 0.6806)  7 Sm 3.37-3.67, 1 La 3.51
La (0.6349, 0.6349, 0.0952)  5 Sm 3.42-3.63, 3 La 3.71
La (0.3651, 0.3651, 0.9048)  5 Sm 3.42-3.63, 3 La 3.71
Sm (0.0874, 0.0874, 0.7377)  4 Sm 3.37-3.54, 3 La 3.63
Sm (0.9126, 0.9126, 0.2623)  4 Sm 3.37-3.54, 3 La 3.63
Sm (0.5000, 0.5000, 0.5000)  2 La 3.42, 6 Sm 3.67
Sm (0.2269, 0.2269, 0.3194)  7 Sm 3.37-3.67, 1 La 3.51

Computed properties:
formation enthalpy at 0 K = 0.125 eV/atom
DFT total energy = -4.65 eV per atom
distance to the lowest polymorph of the same formula = 0.12 eV/f.u.


Entry 7:
Here is a relaxed La3Sm8 crystal from Alexandria via LeMat-Bulk. Energies are from PBE-GGA.

a = 5.1671 Å, b = 6.3595 Å, c = 13.2291 Å
α = 103.79°, β = 90.00°, γ = 113.97°
With the nearest neighbours (Å) after each atom.
Fractional positions:
Sm (0.2729, 0.5459, 0.9091)  4 La 3.66-3.67, 8 Sm 3.66-3.67
Sm (0.3628, 0.7257, 0.5450)  7 Sm 3.65-3.69, 5 La 3.67-3.68
Sm (0.6372, 0.2743, 0.4550)  7 Sm 3.65-3.69, 5 La 3.67-3.68
Sm (0.1815, 0.3630, 0.2729)  4 La 3.65-3.68, 8 Sm 3.66-3.68
Sm (0.4544, 0.9089, 0.1809)  4 La 3.65, 8 Sm 3.66-3.69
La (0.9095, 0.8190, 0.3622)  11 Sm 3.65-3.68, 1 La 3.70
La (0.0905, 0.1810, 0.6378)  11 Sm 3.65-3.68, 1 La 3.70
Sm (0.8185, 0.6370, 0.7271)  4 La 3.65-3.68, 8 Sm 3.66-3.68
Sm (0.7271, 0.4541, 0.0909)  4 La 3.66-3.67, 8 Sm 3.66-3.67
La (0.0000, 0.0000, 0.0000)  12 Sm 3.65-3.68
Sm (0.5456, 0.0911, 0.8191)  4 La 3.65, 8 Sm 3.66-3.69

Computed properties:
formation enthalpy at 0 K = 0.023 eV/atom
DFT total energy = -4.75 eV per atom
distance to the lowest polymorph of the same formula = 0.00 eV/f.u.


Entry 8:
Here is a relaxed LaSm crystal from Alexandria via LeMat-Bulk. Energies are from PBE-GGA.

a = 3.5797 Å, b = 5.7238 Å, c = 7.1289 Å
α = 90.00°, β = 104.62°, γ = 90.00°
With the nearest neighbours (Å) after each atom.
Fractional positions:
La (0.5613, 0.7500, 0.6237)  4 La 3.33-3.58, 1 Sm 3.49
La (0.4387, 0.2500, 0.3763)  4 La 3.33-3.58, 1 Sm 3.49
Sm (0.8151, 0.7500, 0.1302)  7 La 3.49-3.85, 6 Sm 3.58-3.82
Sm (0.1849, 0.2500, 0.8698)  7 La 3.49-3.85, 6 Sm 3.58-3.82

Computed properties:
formation enthalpy at 0 K = 0.060 eV/atom
DFT total energy = -4.76 eV per atom
distance to the lowest polymorph of the same formula = 0.08 eV/f.u.


Per-record total magnetic moment, μB/f.u.: 0.000 0.000 0.000 0.000 0.000 0.000 0.000 0.000